[1]
Here is a relaxed LiY2Zr crystal from Alexandria. Energies are from PBE.

Magnetization in μB/atom: 0.00
E_form in eV/atom: 0.13
Space group: Imm2 (44)

a b c (Å): 6.3775 6.3775 6.3775
angles (deg): 147.72 131.05 59.85
Closest atoms and distances in Å follow each position.
Atoms (fractional coordinates):
1 Zr 0.4715 0.4715 0.0000  2 Li 2.95, 4 Y 3.24
2 Y 0.7431 0.2431 0.5000  4 Li 3.19, 2 Zr 3.49, 4 Y 3.55-3.56
3 Li 0.2579 0.7579 0.5000  2 Zr 2.95, 6 Y 3.10-3.19
4 Y 0.0275 0.0275 0.0000  2 Li 3.10, 4 Zr 3.24


[2]
Here is a relaxed LiYZr4 crystal from Alexandria. Energies are from PBE.

Magnetization in μB/atom: 0.00
E_form in eV/atom: 0.36
Space group: F-43m (216)

a b c (Å): 6.0059 6.0059 6.0059
angles (deg): 60.00 60.00 60.00
Closest atoms and distances in Å follow each position.
Atoms (fractional coordinates):
1 Li 0.7500 0.7500 0.7500  12 Zr 3.53, 4 Y 3.68
2 Zr 0.3725 0.3725 0.8825  6 Zr 2.94-3.06
3 Zr 0.3725 0.8825 0.3725  6 Zr 2.94-3.06
4 Zr 0.8825 0.3725 0.3725  6 Zr 2.94-3.06
5 Zr 0.3725 0.3725 0.3725  6 Zr 2.94-3.06
6 Y 0.0000 0.0000 0.0000  12 Zr 3.52, 4 Li 3.68


[3]
Here is a relaxed LiY2Zr crystal from Alexandria. Energies are from PBE.

Magnetization in μB/atom: 0.00
E_form in eV/atom: 0.11
Space group: R-3m (166)

a b c (Å): 11.2572 11.2572 11.2572
angles (deg): 17.29 17.29 17.29
Closest atoms and distances in Å follow each position.
Atoms (fractional coordinates):
1 Y 0.5032 0.5032 0.5032  3 Zr 3.30, 6 Y 3.38, 3 Li 3.48
2 Zr 0.2500 0.2500 0.2500  6 Y 3.30, 6 Zr 3.38
3 Y 0.9968 0.9968 0.9968  3 Zr 3.30, 6 Y 3.38, 3 Li 3.48
4 Li 0.7500 0.7500 0.7500  6 Li 3.38, 6 Y 3.48


[4]
Here is a relaxed LiY2Zr crystal from Alexandria. Energies are from PBE.

Magnetization in μB/atom: 0.00
E_form in eV/atom: 0.13
Space group: R3m (160)

a b c (Å): 3.4176 3.4176 11.1586
angles (deg): 81.17 81.17 60.00
Closest atoms and distances in Å follow each position.
Atoms (fractional coordinates):
1 Y 0.0863 0.0863 0.7406  3 Zr 3.30, 6 Y 3.42, 3 Li 3.47
2 Y 0.2472 0.2472 0.2591  3 Zr 3.30, 6 Y 3.42, 3 Li 3.46
3 Li 0.6665 0.6665 0.0006  6 Li 3.42, 6 Y 3.46-3.47
4 Zr 0.5000 0.5000 0.4997  6 Y 3.30, 6 Zr 3.42


[5]
Here is a relaxed LiY2Zr crystal from Alexandria. Energies are from PBE.

Magnetization in μB/atom: 0.00
E_form in eV/atom: 0.22
Space group: Immm (71)

a b c (Å): 6.2042 6.2042 6.2042
angles (deg): 145.70 128.89 63.00
Closest atoms and distances in Å follow each position.
Atoms (fractional coordinates):
1 Y 0.4744 0.4744 0.0000  2 Li 3.00, 4 Y 3.29
2 Y 0.0256 0.0256 0.0000  2 Li 3.00, 4 Y 3.29
3 Li 0.2500 0.7500 0.5000  4 Y 3.00, 4 Zr 3.24
4 Zr 0.7500 0.2500 0.5000  4 Li 3.24, 8 Y 3.44-3.58


[6]
Here is a relaxed Li2Y2Zr crystal from Alexandria. Energies are from PBE.

Magnetization in μB/atom: 0.40
E_form in eV/atom: 0.39
Space group: I4/mmm (139)

a b c (Å): 5.3752 5.3752 5.7266
angles (deg): 62.01 62.01 90.00
Closest atoms and distances in Å follow each position.
Atoms (fractional coordinates):
1 Y 0.2500 0.7500 0.5000  4 Li 2.91
2 Zr 0.0000 0.0000 0.0000  2 Li 3.25, 8 Y 3.44
3 Y 0.7500 0.2500 0.5000  4 Li 2.91
4 Li 0.6206 0.6206 0.7588  1 Li 2.07
5 Li 0.3794 0.3794 0.2412  1 Li 2.07


[7]
Here is a relaxed LiY2Zr crystal from Alexandria. Energies are from PBE.

Magnetization in μB/atom: 0.00
E_form in eV/atom: 0.24
Space group: Pmm2 (25)

a b c (Å): 3.3980 4.7573 6.5798
angles (deg): 90.00 90.00 90.00
Closest atoms and distances in Å follow each position.
Atoms (fractional coordinates):
1 Y 0.5000 0.5000 0.2789  1 Li 3.04, 4 Zr 3.24, 2 Y 3.40
2 Y 0.0000 0.0000 0.9870  2 Zr 3.25-3.33, 4 Li 3.34, 6 Y 3.40-3.50
3 Li 0.5000 0.5000 0.7417  5 Y 3.04-3.34, 4 Zr 3.35, 2 Li 3.40
4 Zr 0.0000 0.0000 0.4924  6 Y 3.24-3.33, 4 Li 3.35, 2 Zr 3.40


[8]
Here is a relaxed LiY3Zr crystal from Alexandria. Energies are from PBE.

Magnetization in μB/atom: 0.00
E_form in eV/atom: 0.64
Space group: Pm-3m (221)

a b c (Å): 5.2580 5.2580 5.2580
angles (deg): 90.00 90.00 90.00
Closest atoms and distances in Å follow each position.
Atoms (fractional coordinates):
1 Y 0.0000 0.0000 0.5000  2 Li 2.63
2 Y 0.5000 0.0000 0.0000  2 Li 2.63
3 Zr 0.5000 0.5000 0.5000  12 Y 3.72
4 Li 0.0000 0.0000 0.0000  6 Y 2.63
5 Y 0.0000 0.5000 0.0000  2 Li 2.63


no.,raw total energy (eV per cell)
1,-22.87
2,-40.42
3,-22.93
4,-22.88
5,-22.49
6,-23.36
7,-22.42
8,-26.65